Here is a relaxed Sm6ZnNi2Br3 crystal from the Alexandria database. Energies are from GGA-PBE.

Results
E, eV/atom: -4.599
Space group: C2/m
Formation energy (no corrections), eV per atom: -0.7515
Mass density, g/cm3: 6.7

Cell lengths 9.8242, 9.8242, 8.9849 Å; angles 109.50, 109.50, 23.57 degrees
Closest atoms and distances in Å follow each position.
Positions (direct):
Sm 0.0142 0.0142 0.2486  1 Ni 2.75, 2 Zn 2.95
Sm 0.3190 0.3190 0.4464  3 Ni 2.76-2.77
Sm 0.3393 0.3393 0.8818  2 Ni 2.77, 1 Zn 2.91
Sm 0.6607 0.6607 0.1182  2 Ni 2.77, 1 Zn 2.91
Sm 0.6810 0.6810 0.5536  3 Ni 2.76-2.77
Sm 0.9858 0.9858 0.7514  1 Ni 2.75, 2 Zn 2.95
Zn 0.5000 0.5000 0.0000  6 Sm 2.91-2.95
Ni 0.1657 0.1657 0.3337  6 Sm 2.75-2.77
Ni 0.8343 0.8343 0.6663  6 Sm 2.75-2.77
Br 0.1640 0.1640 0.8345  6 Sm 3.25-3.33
Br 0.5000 0.5000 0.5000  6 Sm 3.10-3.35
Br 0.8360 0.8360 0.1655  6 Sm 3.25-3.33